Material: NaSi2Ag2
Method: DFT, GGA-PBEsol
State: relaxed

Cell: 7.0721 7.0721 7.0721 Å, 149.71 149.71 43.36°
Closest atoms and distances in Å follow each position.
Atoms (fractional coordinates):
Na: 0.0000 0.0000 0.0000  8 Ag 2.96
Si: 0.2500 0.7500 0.5000  4 Si 2.61, 4 Ag 2.64
Si: 0.7500 0.2500 0.5000  4 Si 2.61, 4 Ag 2.64
Ag: 0.3937 0.3937 0.0000  4 Si 2.64, 1 Ag 2.79
Ag: 0.6063 0.6063 0.0000  4 Si 2.64, 1 Ag 2.79

energy relative to the lowest polymorph listed for this composition = 0.152 eV/atom
raw formation energy = 181 meV per atom